w.
First-principles (PBE) data for a relaxed CuGeIr crystal, as listed in the Alexandria database.

The structure in POSCAR format:
```
CuGeIr
1.0
-2.451 -1.875 0.484
0.977 -0.522 2.921
-1.559 4.552 -0.335
Ge Cu Ir
1 1 1
Direct
0.281 0.281 0.562 Ge
0.625 0.625 0.250 Cu
0.944 0.944 0.888 Ir
```

Summary:
symmetry	I4mm (107)

=====

x.
First-principles (PBE) data for a relaxed CuGeIr crystal, as listed in the Alexandria database.

The structure in POSCAR format:
```
CuGeIr
1.0
-0.827 2.220 3.365
2.316 -0.437 3.374
2.549 3.019 1.152
Cu Ge Ir
1 1 1
Direct
0.500 0.500 0.500 Cu
0.000 0.000 0.000 Ge
0.250 0.250 0.250 Ir
```

Summary:
symmetry	F-43m (216)

=====

y.
First-principles (PBE) data for a relaxed CuGeIr crystal, as listed in the Alexandria database.

The structure in POSCAR format:
```
CuGeIr
1.0
-1.167 -5.332 1.144
4.934 2.568 0.408
-0.654 4.919 2.539
Ir Ge Cu
2 2 2
Direct
0.750 0.084 0.834 Ir
0.250 0.916 0.166 Ir
0.250 0.639 0.889 Ge
0.750 0.361 0.111 Ge
0.500 0.500 0.500 Cu
0.000 0.000 0.500 Cu
```

Summary:
symmetry	Imma (74)

=====

z.
First-principles (PBE) data for a relaxed CuGeIr crystal, as listed in the Alexandria database.

The structure in POSCAR format:
```
CuGeIr
1.0
2.924 0.000 0.000
0.000 4.172 0.000
0.000 -2.086 3.613
Ir Ge Cu
1 1 1
Direct
0.833 0.667 0.333 Ir
0.833 0.000 0.000 Ge
0.334 0.333 0.667 Cu
```

Summary:
symmetry	P-6m2 (187)

=====

On energetic grounds, z is preferred over the next structure by 25 meV per atom.